! ScAgPbBr6 | Alexandria | GGA-PBE | optimized geometry; values from VASP
&SYSTEM
  ibrav = 0, nat = 18, ntyp = 4
/
ATOMIC_SPECIES
Sc 44.96 Sc.upf
Ag 107.87 Ag.upf
Pb 207.20 Pb.upf
Br 79.90 Br.upf
ATOMIC_POSITIONS crystal
Sc 0.3333 0.6667 0.2500
Sc 0.6667 0.3333 0.7500
Ag 0.3333 0.6667 0.7500
Ag 0.6667 0.3333 0.2500
Pb 0.0000 0.0000 0.0000
Pb 0.0000 0.0000 0.5000
Br 0.0220 0.3671 0.1314
Br 0.0220 0.6550 0.3686
Br 0.3450 0.3671 0.3686
Br 0.3450 0.9780 0.1314
Br 0.3671 0.0220 0.6314
Br 0.3671 0.3450 0.8686
Br 0.6329 0.6550 0.1314
Br 0.6329 0.9780 0.3686
Br 0.6550 0.0220 0.8686
Br 0.6550 0.6329 0.6314
Br 0.9780 0.3450 0.6314
Br 0.9780 0.6329 0.8686
CELL_PARAMETERS angstrom
7.1535 0.0000 0.0000
-3.5767 6.1951 0.0000
0.0000 0.0000 13.0558
! space group	P-31c
! ΔE_f (raw)	-1.103	eV/atom